Entry from the Alexandria database: a relaxed MgSi3C crystal (PBE).

Output
D(E_F), states/eV/atom: 0.675
Energy relative to the elements, uncorrected, kJ per mole of atoms: 231.9
SG: Pm-3m (221)
Total energy, eV per atom: -3.01

Cell lengths 4.8375, 4.8375, 4.8375 Å; angles 90.00, 90.00, 90.00 degrees
With the nearest neighbours (Å) after each atom.
Atoms (fractional coordinates):
Mg: 0.0000 0.0000 0.0000  6 Si 2.42
Si: 0.0000 0.0000 0.5000  2 Mg 2.42
Si: 0.0000 0.5000 0.0000  2 Mg 2.42
Si: 0.5000 0.0000 0.0000  2 Mg 2.42
C: 0.5000 0.5000 0.5000  12 Si 3.42